{
  "formula": "SmTm3",
  "functional": "PBEsol",
  "state": "optimized geometry",
  "lattice_angstrom": [[5.509, 0.000, 0.000], [0.000, 7.036, 0.000], [0.000, -3.518, 6.094]],
  "species": ["Sm", "Sm", "Tm", "Tm", "Tm", "Tm", "Tm", "Tm"],
  "frac_coords": [[0.250, 0.667, 0.333], [0.750, 0.333, 0.667], [0.750, 0.834, 0.669], [0.750, 0.834, 0.166], [0.250, 0.166, 0.331], [0.750, 0.331, 0.166], [0.250, 0.669, 0.834], [0.250, 0.166, 0.834]],
  "magnetic_moment_mub_per_fu": 0.00,
  "polymorph_energy_ev_per_atom": 0.000,
  "e_form_ev_per_atom": 0.008,
  "e_tot_ev_per_cell": -39.52
}


{
  "formula": "DyCuGe",
  "functional": "PBEsol",
  "state": "optimized geometry",
  "lattice_angstrom": [[4.207, 0.000, 0.000], [-2.104, 3.643, 0.000], [0.000, 0.000, 7.066]],
  "species": ["Ge", "Ge", "Dy", "Dy", "Cu", "Cu"],
  "frac_coords": [[0.667, 0.333, 0.015], [0.333, 0.667, 0.515], [0.000, 0.000, 0.240], [0.000, 0.000, 0.740], [0.667, 0.333, 0.454], [0.333, 0.667, 0.954]],
  "magnetic_moment_mub_per_fu": 0.00,
  "e_form_ev_per_atom": -0.730,
  "e_tot_ev_per_cell": -32.89
}


{
  "formula": "BaCrRh2",
  "functional": "PBEsol",
  "state": "optimized geometry",
  "lattice_angstrom": [[-0.688, -3.595, -1.078], [3.871, -1.261, 1.731], [-1.987, -0.782, 3.875]],
  "species": ["Cr", "Rh", "Rh", "Ba"],
  "frac_coords": [[0.500, 0.000, 0.500], [0.000, 0.000, 0.000], [0.000, 0.500, 0.500], [0.500, 0.500, 0.000]],
  "magnetic_moment_mub_per_fu": 3.83,
  "polymorph_energy_ev_per_atom": 0.150,
  "e_form_ev_per_atom": 0.676,
  "e_tot_ev_per_cell": -25.96
}


{
  "formula": "YCu2HPd",
  "functional": "PBEsol",
  "state": "optimized geometry",
  "lattice_angstrom": [[3.548, 0.000, 0.000], [0.000, 4.867, 0.000], [0.000, 0.000, 4.867]],
  "species": ["Pd", "Cu", "Cu", "Y", "H"],
  "frac_coords": [[0.500, 0.500, 0.500], [0.000, 0.000, 0.500], [0.000, 0.500, 0.000], [0.000, 0.000, 0.000], [0.500, 0.000, 0.000]],
  "magnetic_moment_mub_per_fu": 0.00,
  "e_tot_ev_per_cell": -20.73
}


- What is the formula in the second record?
  DyCuGe


- What is the formula in the first record?
  SmTm3